# Rb2Hf2Te6Au

A geometry-optimized Rb2Hf2Te6Au structure (PBE, Alexandria via LeMat-Bulk). Values from VASP.

Magnetic moment: 0.000 μB/atom
Space group: C2/m, No. 12
Crystal system: monoclinic
Energy relative to the elements, uncorrected: -0.70 eV/atom
Density of states at the Fermi level: 0.6850 states/eV/atom

Geometry as Quantum ESPRESSO input:
```
&SYSTEM
  ibrav = 0, nat = 11, ntyp = 4
/
ATOMIC_SPECIES
Hf 178.49 Hf.upf
Te 127.60 Te.upf
Rb 85.47 Rb.upf
Au 196.97 Au.upf
CELL_PARAMETERS angstrom
7.4287 -0.2007 0.0595
-3.8462 6.3587 0.0595
-1.2813 -2.2024 8.7461
ATOMIC_POSITIONS crystal
Hf 0.6728 0.3272 0.5000
Te 0.7316 0.7316 0.6716
Te 0.5825 0.9320 0.3066
Rb 0.8447 0.1553 0.0000
Te 0.2684 0.2684 0.3284
Hf 0.3272 0.6728 0.5000
Te 0.4175 0.0680 0.6934
Te 0.0680 0.4175 0.6934
Rb 0.1553 0.8447 0.0000
Te 0.9320 0.5825 0.3066
Au 0.0000 0.0000 0.5000
```